[1]
This record from the Alexandria database describes a relaxed Ba2SrCaCl crystal. The functional is PBE.

a b c (Å): 6.600 6.600 5.518
angles (deg): 90.00 90.00 90.00
Space group P4/mmm (No. 123)
Asymmetric unit:
Ba  0.000  0.500  0.000
Sr  0.000  0.000  0.500
Ca  0.500  0.500  0.500
Cl  0.500  0.500  0.000

Output
- E_form (uncorrected): -635 meV per atom
- Spin magnetization: 0.580 μB per formula unit

---

[2]
This record from the Alexandria database describes a relaxed SmY7Er12 crystal. The functional is PBE.

a b c (Å): 11.9458 11.9458 15.8306
angles (deg): 90.00 90.00 120.00
Space group R-3 (No. 148, hexagonal axes)
Asymmetric unit:
Sm  0.0000  0.0000  0.0000
Y  0.0000  0.0000  0.5000
Y  0.0510  0.5867  0.5834
Er  0.0235  0.4505  0.2185
Er  0.0532  0.1896  0.2944

Output
- Calculated formation energy: 251 meV/atom
- Spin magnetization: 0.000 μB per formula unit

---

[3]
This record from the Alexandria database describes a relaxed InBW2 crystal. The functional is PBE.

a b c (Å): 3.762 3.762 18.776
angles (deg): 90.00 90.00 90.00
Space group I-42d (No. 122)
Asymmetric unit:
In  0.000  0.000  0.000
B  0.000  0.000  0.500
W  0.221  0.250  0.625

Output
- Calculated formation energy: 1199 meV/atom
- Spin magnetization: 0.000 μB per formula unit

---

[4]
This record from the Alexandria database describes a relaxed KCd2Br4 crystal. The functional is PBE.

a b c (Å): 8.716 8.716 7.166
angles (deg): 90.00 90.00 90.00
Space group I4/m (No. 87)
Asymmetric unit:
K  0.000  0.000  0.000
Cd  0.000  0.500  0.250
Br  0.166  0.681  0.500

Output
- E_form (uncorrected): -867 meV per atom
- Spin magnetization: 0.000 μB per formula unit

---

[5]
This record from the Alexandria database describes a relaxed Pr9SmPb2 crystal. The functional is PBE.

a b c (Å): 5.057 5.057 15.618
angles (deg): 90.00 90.00 90.00
Space group P4/mmm (No. 123)
Asymmetric unit:
Pr  0.000  0.000  0.000
Pr  0.000  0.000  0.339
Pr  0.000  0.500  0.174
Pr  0.000  0.500  0.500
Sm  0.500  0.500  0.000
Pb  0.500  0.500  0.337

Output
- Calculated formation energy: -211 meV/atom
- Spin magnetization: 0.000 μB per formula unit

---

[6]
This record from the Alexandria database describes a relaxed Ca4SbAu crystal. The functional is PBE.

a b c (Å): 9.180 9.180 9.180
angles (deg): 90.00 90.00 90.00
Space group F-43m (No. 216)
Asymmetric unit:
Ca  0.124  0.124  0.124
Sb  0.250  0.250  0.750
Au  0.000  0.000  0.500

Output
- E_form (uncorrected): 86 meV per atom
- Spin magnetization: 0.000 μB per formula unit

---

[7]
This record from the Alexandria database describes a relaxed Sr2CdP crystal. The functional is PBE.

a b c (Å): 7.796 7.796 7.796
angles (deg): 90.00 90.00 90.00
Space group F-43m (No. 216)
Asymmetric unit:
Sr  0.000  0.000  0.000
Sr  0.250  0.250  0.250
Cd  0.000  0.000  0.500
P  0.250  0.250  0.750

Output
- Calculated formation energy: -44 meV/atom
- Spin magnetization: 0.000 μB per formula unit

---

[8]
This record from the Alexandria database describes a relaxed Dy7Er12Mg crystal. The functional is PBE.

a b c (Å): 11.7875 11.7875 15.8251
angles (deg): 90.00 90.00 120.00
Space group R-3 (No. 148, hexagonal axes)
Asymmetric unit:
Dy  0.0000  0.0000  0.0000
Dy  0.0566  0.1902  0.2925
Er  0.0313  0.4565  0.2188
Er  0.0526  0.5857  0.5841
Mg  0.0000  0.0000  0.5000

Output
- Calculated formation energy: 218 meV/atom
- Spin magnetization: 0.000 μB per formula unit

---

[9]
This record from the Alexandria database describes a relaxed TaRe2Se crystal. The functional is PBE.

a b c (Å): 3.0247 3.0247 25.0231
angles (deg): 90.00 90.00 120.00
Space group R-3m (No. 166, hexagonal axes)
Asymmetric unit:
Ta  0.0000  0.0000  0.0000
Re  0.0000  0.0000  0.2499
Se  0.0000  0.0000  0.5000

Output
- E_form (uncorrected): 323 meV per atom
- Spin magnetization: 0.000 μB per formula unit

---

[10]
This record from the Alexandria database describes a relaxed Sm2Ga3Ni crystal. The functional is PBE.

a b c (Å): 10.373 4.419 7.304
angles (deg): 90.00 133.35 90.00
Space group Cm (No. 8)
Asymmetric unit:
Sm  0.000  0.000  0.000
Sm  0.092  0.000  0.594
Ga  0.214  0.500  0.391
Ga  0.374  0.000  0.183
Ga  0.403  0.000  0.614
Ni  0.218  0.500  0.026

Output
- Calculated formation energy: -621 meV/atom
- Spin magnetization: 0.000 μB per formula unit

---

[11]
This record from the Alexandria database describes a relaxed Sm6ThIn3 crystal. The functional is PBE.

a b c (Å): 10.128 5.275 11.449
angles (deg): 90.00 100.17 90.00
Space group P2_1/m (No. 11)
Asymmetric unit:
Sm  0.045  0.250  0.403
Sm  0.141  0.750  0.194
Sm  0.229  0.250  0.981
Sm  0.323  0.750  0.787
Sm  0.362  0.250  0.275
Sm  0.434  0.250  0.595
Th  0.454  0.750  0.093
In  0.041  0.750  0.894
In  0.144  0.250  0.692
In  0.258  0.750  0.481

Output
- Calculated formation energy: -275 meV/atom
- Spin magnetization: 0.000 μB per formula unit

---

[12]
This record from the Alexandria database describes a relaxed Dy2HoMg crystal. The functional is PBE.

a b c (Å): 7.123 7.128 9.924
angles (deg): 90.00 110.93 90.00
Space group C2/m (No. 12)
Asymmetric unit:
Dy  0.131  0.000  0.263
Dy  0.250  0.250  0.000
Ho  0.132  0.500  0.264
Mg  0.000  0.250  0.500

Output
- Calculated formation energy: -29 meV/atom
- Spin magnetization: 0.000 μB per formula unit

---

[13]
This record from the Alexandria database describes a relaxed BePtO2 crystal. The functional is PBE.

a b c (Å): 4.536 4.536 7.783
angles (deg): 90.00 90.00 90.00
Space group I-42d (No. 122)
Asymmetric unit:
Be  0.000  0.000  0.000
Pt  0.000  0.000  0.500
O  0.151  0.250  0.125

Output
- E_form (uncorrected): -1050 meV per atom
- Spin magnetization: 0.000 μB per formula unit

---

[14]
This record from the Alexandria database describes a relaxed TaBeAg crystal. The functional is PBE.

a b c (Å): 5.753 5.753 5.753
angles (deg): 90.00 90.00 90.00
Space group F-43m (No. 216)
Asymmetric unit:
Ta  0.000  0.000  0.000
Be  0.250  0.250  0.250
Ag  0.000  0.000  0.500

Output
- Calculated formation energy: 626 meV/atom
- Spin magnetization: 0.000 μB per formula unit

---

[15]
This record from the Alexandria database describes a relaxed LaPmGa2Pt5 crystal. The functional is PBE.

a b c (Å): 4.285 4.285 9.379
angles (deg): 90.00 90.00 90.00
Space group P4/mmm (No. 123)
Asymmetric unit:
La  0.000  0.000  0.000
Pm  0.000  0.000  0.500
Ga  0.500  0.500  0.367
Pt  0.000  0.500  0.231
Pt  0.500  0.500  0.000

Output
- Calculated formation energy: -904 meV/atom
- Spin magnetization: 0.000 μB per formula unit

---

[16]
This record from the Alexandria database describes a relaxed Pr3YS crystal. The functional is PBE.

a b c (Å): 5.545 5.545 5.545
angles (deg): 90.00 90.00 90.00
Space group Pm-3m (No. 221)
Asymmetric unit:
Pr  0.000  0.000  0.500
Y  0.500  0.500  0.500
S  0.000  0.000  0.000

Output
- E_form (uncorrected): -672 meV per atom
- Spin magnetization: 0.000 μB per formula unit